Record 1
! CrCuPt2 GGA-PBE relaxed; values from VASP
&SYSTEM
  ibrav = 0, nat = 4, ntyp = 3
/
ATOMIC_SPECIES
Cr 52.00 Cr.upf
Cu 63.55 Cu.upf
Pt 195.08 Pt.upf
ATOMIC_POSITIONS crystal
Cr 0.4991 0.4991 0.5173
Cu 0.2486 0.2486 0.2353
Pt 0.9978 0.9978 0.0251
Pt 0.7545 0.7545 0.7223
CELL_PARAMETERS angstrom
4.7323 -0.0266 0.0574
3.9273 2.6405 0.0574
0.8012 0.2418 4.5363
! density of states at the Fermi level: 1.1007 states/eV per atom
! total magnetic moment: 2.64 μB/cell
! symmetry: Cm (8)
! VASP energy: -6.573 eV per atom
! calculated formation energy: -0.12 eV/atom

Record 2
! CrCu2Pt GGA-PBE relaxed; values from VASP
&SYSTEM
  ibrav = 0, nat = 4, ntyp = 3
/
ATOMIC_SPECIES
Cr 52.00 Cr.upf
Cu 63.55 Cu.upf
Pt 195.08 Pt.upf
ATOMIC_POSITIONS crystal
Cr 0.5000 0.5000 0.5000
Cu 0.0000 0.0000 0.0000
Cu 0.7500 0.7500 0.7500
Pt 0.2500 0.2500 0.2500
CELL_PARAMETERS angstrom
4.2628 0.0000 0.0000
2.1314 3.6917 0.0000
2.1314 1.2306 3.4806
! density of states at the Fermi level: 1.2492 states/eV per atom
! total magnetic moment: 3.38 μB/cell
! symmetry: F-43m (216)
! VASP energy: -5.930 eV per atom
! calculated formation energy: 0.03 eV/atom

Record 3
! CrCu3Pt12 GGA-PBE relaxed; values from VASP
&SYSTEM
  ibrav = 0, nat = 16, ntyp = 3
/
ATOMIC_SPECIES
Cr 52.00 Cr.upf
Cu 63.55 Cu.upf
Pt 195.08 Pt.upf
ATOMIC_POSITIONS crystal
Cr 0.0000 0.0000 0.0000
Cu 0.0000 0.0000 0.2509
Cu 0.0000 0.0000 0.5000
Cu 0.0000 0.0000 0.7491
Pt 0.5000 0.5000 0.0000
Pt 0.5000 0.5000 0.2502
Pt 0.5000 0.5000 0.5000
Pt 0.5000 0.5000 0.7498
Pt 0.5000 0.0000 0.1242
Pt 0.5000 0.0000 0.3751
Pt 0.5000 0.0000 0.6249
Pt 0.5000 0.0000 0.8758
Pt 0.0000 0.5000 0.1242
Pt 0.0000 0.5000 0.3751
Pt 0.0000 0.5000 0.6249
Pt 0.0000 0.5000 0.8758
CELL_PARAMETERS angstrom
3.9013 0.0000 0.0000
0.0000 3.9013 0.0000
0.0000 0.0000 15.6503
! density of states at the Fermi level: 1.1109 states/eV per atom
! total magnetic moment: 2.39 μB/cell
! symmetry: P4/mmm (123)
! VASP energy: -6.060 eV per atom
! calculated formation energy: -0.16 eV/atom

Record 4
! Cr2CuPt9 GGA-PBE relaxed; values from VASP
&SYSTEM
  ibrav = 0, nat = 12, ntyp = 3
/
ATOMIC_SPECIES
Cr 52.00 Cr.upf
Cu 63.55 Cu.upf
Pt 195.08 Pt.upf
ATOMIC_POSITIONS crystal
Cr 0.0000 0.0000 0.3317
Cr 0.0000 0.0000 0.6683
Cu 0.0000 0.0000 0.0000
Pt 0.5000 0.5000 0.0000
Pt 0.5000 0.5000 0.3331
Pt 0.5000 0.5000 0.6669
Pt 0.5000 0.0000 0.1674
Pt 0.5000 0.0000 0.5000
Pt 0.5000 0.0000 0.8326
Pt 0.0000 0.5000 0.1674
Pt 0.0000 0.5000 0.5000
Pt 0.0000 0.5000 0.8326
CELL_PARAMETERS angstrom
3.9142 0.0000 0.0000
0.0000 3.9142 0.0000
0.0000 0.0000 11.7290
! density of states at the Fermi level: 1.3764 states/eV per atom
! total magnetic moment: 4.60 μB/cell
! symmetry: P4/mmm (123)
! VASP energy: -6.699 eV per atom
! calculated formation energy: -0.22 eV/atom

Record 5
! CrCuPt2 GGA-PBE relaxed; values from VASP
&SYSTEM
  ibrav = 0, nat = 4, ntyp = 3
/
ATOMIC_SPECIES
Cr 52.00 Cr.upf
Cu 63.55 Cu.upf
Pt 195.08 Pt.upf
ATOMIC_POSITIONS crystal
Cr 0.2500 0.2500 0.2500
Cu 0.7500 0.7500 0.7500
Pt 0.9985 0.9985 0.9985
Pt 0.5015 0.5015 0.5015
CELL_PARAMETERS angstrom
-3.2046 -1.8985 8.0372
-1.4623 -3.9853 7.7749
-0.5748 -1.5732 8.6986
! density of states at the Fermi level: 1.1123 states/eV per atom
! total magnetic moment: 1.85 μB/cell
! symmetry: R-3m (166)
! VASP energy: -6.560 eV per atom
! calculated formation energy: -0.11 eV/atom

Record 6
! CrCu2Pt9 GGA-PBE relaxed; values from VASP
&SYSTEM
  ibrav = 0, nat = 12, ntyp = 3
/
ATOMIC_SPECIES
Cr 52.00 Cr.upf
Cu 63.55 Cu.upf
Pt 195.08 Pt.upf
ATOMIC_POSITIONS crystal
Cr 0.0000 0.0000 0.0000
Cu 0.0000 0.0000 0.3346
Cu 0.0000 0.0000 0.6654
Pt 0.5000 0.5000 0.0000
Pt 0.5000 0.5000 0.3334
Pt 0.5000 0.5000 0.6666
Pt 0.5000 0.0000 0.1656
Pt 0.5000 0.0000 0.5000
Pt 0.5000 0.0000 0.8344
Pt 0.0000 0.5000 0.1656
Pt 0.0000 0.5000 0.5000
Pt 0.0000 0.5000 0.8344
CELL_PARAMETERS angstrom
3.9087 0.0000 0.0000
0.0000 3.9087 0.0000
0.0000 0.0000 11.7189
! density of states at the Fermi level: 1.2559 states/eV per atom
! total magnetic moment: 2.53 μB/cell
! symmetry: P4/mmm (123)
! VASP energy: -6.184 eV per atom
! calculated formation energy: -0.17 eV/atom

Record 7
! Cr2CuPt8 GGA-PBE relaxed; values from VASP
&SYSTEM
  ibrav = 0, nat = 11, ntyp = 3
/
ATOMIC_SPECIES
Cr 52.00 Cr.upf
Cu 63.55 Cu.upf
Pt 195.08 Pt.upf
ATOMIC_POSITIONS crystal
Cr 0.1937 0.6937 0.3875
Cr 0.8063 0.3063 0.6125
Cu 0.5000 0.0000 0.0000
Pt 0.6607 0.8849 0.3214
Pt 0.3393 0.5635 0.6786
Pt 0.1445 0.1445 0.2891
Pt 0.0000 0.3132 0.0000
Pt 0.8555 0.8555 0.7109
Pt 0.6607 0.4365 0.3214
Pt 0.3393 0.1151 0.6786
Pt 0.0000 0.6868 0.0000
CELL_PARAMETERS angstrom
3.8811 0.0000 -1.1812
-1.0891 6.3009 -3.5786
0.0209 -0.2614 7.0354
! density of states at the Fermi level: 1.0949 states/eV per atom
! total magnetic moment: 3.59 μB/cell
! symmetry: Immm (71)
! VASP energy: -6.636 eV per atom
! calculated formation energy: -0.12 eV/atom

Record 8
! CrCuPt2 GGA-PBE relaxed; values from VASP
&SYSTEM
  ibrav = 0, nat = 4, ntyp = 3
/
ATOMIC_SPECIES
Cr 52.00 Cr.upf
Cu 63.55 Cu.upf
Pt 195.08 Pt.upf
ATOMIC_POSITIONS crystal
Cr 0.0000 0.0000 0.5062
Cu 0.5000 0.5000 0.7393
Pt 0.0000 0.0000 0.9844
Pt 0.5000 0.5000 0.2702
CELL_PARAMETERS angstrom
-1.8094 -1.4194 1.4524
-0.8428 -1.2450 -2.2666
5.1184 -5.4237 1.0760
! density of states at the Fermi level: 0.8431 states/eV per atom
! total magnetic moment: 1.19 μB/cell
! symmetry: P4mm (99)
! VASP energy: -6.474 eV per atom
! calculated formation energy: -0.02 eV/atom

Record 9
! CrCu2Pt GGA-PBE relaxed; values from VASP
&SYSTEM
  ibrav = 0, nat = 4, ntyp = 3
/
ATOMIC_SPECIES
Cr 52.00 Cr.upf
Cu 63.55 Cu.upf
Pt 195.08 Pt.upf
ATOMIC_POSITIONS crystal
Cr 0.5000 0.7500 0.7500
Cu 0.0000 0.0117 0.9956
Cu 0.0000 0.4883 0.5044
Pt 0.5000 0.2500 0.2500
CELL_PARAMETERS angstrom
4.4551 0.0000 0.0000
0.0000 2.7068 0.0041
0.0000 0.2466 4.6127
! density of states at the Fermi level: 0.8449 states/eV per atom
! total magnetic moment: 3.60 μB/cell
! symmetry: P2/m (10)
! VASP energy: -5.885 eV per atom
! calculated formation energy: 0.08 eV/atom

Record 10
! CrCu2Pt GGA-PBE relaxed; values from VASP
&SYSTEM
  ibrav = 0, nat = 4, ntyp = 3
/
ATOMIC_SPECIES
Cr 52.00 Cr.upf
Cu 63.55 Cu.upf
Pt 195.08 Pt.upf
ATOMIC_POSITIONS crystal
Cr 0.7478 0.7478 0.7478
Cu 0.9998 0.9998 0.9998
Cu 0.2539 0.2539 0.2539
Pt 0.4986 0.4986 0.4986
CELL_PARAMETERS angstrom
-2.1806 -8.0842 -2.2085
0.2708 -8.5587 -1.2891
-1.7867 -8.4639 0.3955
! density of states at the Fermi level: 0.7248 states/eV per atom
! total magnetic moment: 0.00 μB/cell
! symmetry: R3m (160)
! VASP energy: -5.887 eV per atom
! calculated formation energy: 0.08 eV/atom

Record 11
! CrCu3Pt4 GGA-PBE relaxed; values from VASP
&SYSTEM
  ibrav = 0, nat = 8, ntyp = 3
/
ATOMIC_SPECIES
Cr 52.00 Cr.upf
Pt 195.08 Pt.upf
Cu 63.55 Cu.upf
ATOMIC_POSITIONS crystal
Cr 0.5000 0.0000 0.0000
Pt 0.3757 0.3756 0.7517
Pt 0.6243 0.6244 0.2483
Pt 0.1243 0.1244 0.2483
Pt 0.8757 0.8756 0.7517
Cu 0.0000 0.5000 0.0000
Cu 0.7506 0.2506 0.5016
Cu 0.2494 0.7494 0.4984
CELL_PARAMETERS angstrom
-1.5734 3.5286 0.6294
-3.5816 -1.5742 -0.1289
2.8338 -2.1525 6.9799
! density of states at the Fermi level: 0.6639 states/eV per atom
! total magnetic moment: 2.85 μB/cell
! symmetry: I4/mmm (139)
! VASP energy: -5.968 eV per atom
! calculated formation energy: -0.21 eV/atom

Record 12
! CrCuPt2 GGA-PBE relaxed; values from VASP
&SYSTEM
  ibrav = 0, nat = 8, ntyp = 3
/
ATOMIC_SPECIES
Cr 52.00 Cr.upf
Cu 63.55 Cu.upf
Pt 195.08 Pt.upf
ATOMIC_POSITIONS crystal
Cr 0.5000 0.5000 0.0000
Cr 0.2500 0.7500 0.5000
Cu 0.0000 0.0000 0.0000
Cu 0.7500 0.2500 0.5000
Pt 0.6207 0.1250 0.2500
Pt 0.1293 0.6250 0.2500
Pt 0.3750 0.3793 0.7500
Pt 0.8750 0.8707 0.7500
CELL_PARAMETERS angstrom
6.8498 0.0000 0.0000
0.0000 6.8498 0.0000
3.4249 3.4249 2.6923
! density of states at the Fermi level: 0.9534 states/eV per atom
! total magnetic moment: 6.01 μB/cell
! symmetry: I-42d (122)
! VASP energy: -6.234 eV per atom
! calculated formation energy: 0.22 eV/atom

Record 13
! CrCu5Pt6 GGA-PBE relaxed; values from VASP
&SYSTEM
  ibrav = 0, nat = 12, ntyp = 3
/
ATOMIC_SPECIES
Cr 52.00 Cr.upf
Pt 195.08 Pt.upf
Cu 63.55 Cu.upf
ATOMIC_POSITIONS crystal
Cr 0.0000 0.0000 0.0000
Pt 0.8339 0.5864 0.6677
Pt 0.8338 0.0813 0.6677
Pt 0.5000 0.7555 0.0000
Pt 0.5000 0.2445 0.0000
Pt 0.1662 0.9187 0.3323
Pt 0.1661 0.4136 0.3323
Cu 0.6688 0.1688 0.3376
Cu 0.3347 0.3347 0.6695
Cu 0.0000 0.5000 0.0000
Cu 0.6653 0.6653 0.3305
Cu 0.3312 0.8312 0.6624
CELL_PARAMETERS angstrom
-0.0385 -0.8215 -3.8254
4.6979 -5.4477 1.1226
-6.8240 -0.5679 2.1917
! density of states at the Fermi level: 0.6837 states/eV per atom
! total magnetic moment: 2.11 μB/cell
! symmetry: Immm (71)
! VASP energy: -5.721 eV per atom
! calculated formation energy: -0.19 eV/atom